## GdNiAu2 (GGA-PBE)

Data for GdNiAu2 after structural relaxation.

Cell and atoms, written as CIF:
```
data_GdNiAu2
_chemical_formula_sum 'Gd1 Ni1 Au2'
_space_group_name_H-M_alt 'P 1'
_space_group_IT_number 1
_space_group_name_Hall 'P 1'
_cell_length_a 4.448
_cell_length_b 4.448
_cell_length_c 5.370
_cell_angle_alpha 65.54
_cell_angle_beta 65.54
_cell_angle_gamma 60.00
loop_
_atom_site_label
_atom_site_type_symbol
_atom_site_fract_x
_atom_site_fract_y
_atom_site_fract_z
Gd1 Gd 0.000 0.000 0.000
Au1 Au 0.783 0.783 0.650
Au2 Au 0.217 0.217 0.350
Ni1 Ni 0.500 0.500 0.500
```

Computed properties:
Uncorrected energy in eV per formula unit: -28.253
Total magnetization in μB/f.u.: 7.0
Fermi-level density of states in states/eV/atom: 0.6279